Compound: SrNiMo2
Source: Alexandria
Functional: PBE-GGA
Structure: relaxed

Calculated density = 6.91 g cm⁻³
ΔH_f (0 K) = 264 kJ/mol of formula units
Energy = -26.39 eV/cell

a b c (Å): 3.323 3.323 7.360
angles (deg): 90.00 90.00 90.00
Site moments in Bohr magnetons follow the coordinates.
Element x y z (fractional)
1 Mo 0.000 0.000 0.096  0.21
2 Mo 0.000 0.000 0.404  0.21
3 Ni 0.500 0.500 0.250  0.36
4 Sr 0.500 0.500 0.750  0.04

=====

Compound: KAgTeSe2
Source: Alexandria
Functional: PBE-GGA
Structure: relaxed

Calculated density = 5.17 g cm⁻³
Uncorrected formation energy = -0.24 eV per atom
Energy = -30.56 eV/cell

a b c (Å): 6.056 6.442 7.817
angles (deg): 114.33 90.00 90.00
Element x y z (fractional)
1 Se 0.764 0.660 0.321
2 Se 0.236 0.160 0.321
3 Se 0.764 0.840 0.679
4 Se 0.236 0.340 0.679
5 Ag 0.000 0.500 0.000
6 Ag 0.000 0.000 0.000
7 Te 0.500 0.250 0.000
8 Te 0.500 0.750 0.000
9 K 0.731 0.250 0.500
10 K 0.269 0.750 0.500